[1]
! La3Sn2Au7 | Alexandria | PBE | optimized geometry; values from VASP
! total magnetic moment	0.0	μB per formula unit
! calculated formation energy	-0.50	eV/atom
! total DFT energy (no corrections)	-4.313	eV per atom
&SYSTEM
  ibrav = 0, nat = 12, ntyp = 3
/
ATOMIC_SPECIES
La 138.91 La.upf
Sn 118.71 Sn.upf
Au 196.97 Au.upf
ATOMIC_POSITIONS angstrom
La 0.0000 0.0000 0.0000
La 0.0000 0.0000 5.1000
La 0.0000 0.0000 24.4591
Sn 0.0000 0.0000 10.8902
Sn 0.0000 0.0000 18.6689
Au 2.2381 0.0000 2.2133
Au 0.0000 0.0000 8.1083
Au 2.2381 0.0000 12.5663
Au 0.0000 0.0000 14.7796
Au 0.0000 2.2381 2.2133
Au 0.0000 0.0000 21.4509
Au 0.0000 2.2381 12.5663
CELL_PARAMETERS angstrom
-2.2381 2.2381 14.7796
2.2381 -2.2381 14.7796
2.2381 2.2381 -14.7796

[2]
! MgNF3 | Alexandria | PBE | optimized geometry; values from VASP
! total magnetic moment	0.0	μB per formula unit
! total DFT energy (no corrections)	-3.489	eV per atom
! ΔE to the lowest computed polymorph	576	kJ/mol of formula units
&SYSTEM
  ibrav = 0, nat = 5, ntyp = 3
/
ATOMIC_SPECIES
Mg 24.30 Mg.upf
N 14.01 N.upf
F 19.00 F.upf
ATOMIC_POSITIONS angstrom
Mg 0.0000 0.0000 0.0000
N 1.9440 1.9440 1.9440
F 0.0000 1.9440 1.9440
F 1.9440 0.0000 1.9440
F 1.9440 1.9440 0.0000
CELL_PARAMETERS angstrom
3.8880 0.0000 0.0000
0.0000 3.8880 0.0000
0.0000 0.0000 3.8880

[3]
! ZnSnP2S | Alexandria | PBE | optimized geometry; values from VASP
! total magnetic moment	0.2	μB per formula unit
! total DFT energy (no corrections)	-3.434	eV per atom
! ΔE to the lowest computed polymorph	0	kJ/mol of formula units
&SYSTEM
  ibrav = 0, nat = 5, ntyp = 4
/
ATOMIC_SPECIES
Zn 65.41 Zn.upf
Sn 118.71 Sn.upf
P 30.97 P.upf
S 32.06 S.upf
ATOMIC_POSITIONS angstrom
Zn 0.0000 0.0000 0.0000
Sn 2.3107 2.3107 2.4673
P 0.0000 2.3107 0.0000
P 2.3107 0.0000 0.0000
S 0.0000 0.0000 2.4673
CELL_PARAMETERS angstrom
4.6215 0.0000 0.0000
0.0000 4.6215 0.0000
0.0000 0.0000 4.9346

[4]
! OsCl2F | Alexandria | PBE | optimized geometry; values from VASP
! total magnetic moment	0.0	μB per formula unit
! total DFT energy (no corrections)	-4.106	eV per atom
! ΔE to the lowest computed polymorph	0	kJ/mol of formula units
&SYSTEM
  ibrav = 0, nat = 4, ntyp = 3
/
ATOMIC_SPECIES
Os 190.23 Os.upf
Cl 35.45 Cl.upf
F 19.00 F.upf
ATOMIC_POSITIONS angstrom
Os 0.0000 0.0000 0.0000
Cl 0.0000 0.0000 8.1999
Cl 0.0000 0.0000 12.8165
F 0.0000 0.0000 10.5082
CELL_PARAMETERS angstrom
1.7978 1.0380 7.0055
-1.7978 1.0380 7.0055
0.0000 -2.0759 7.0055

[5]
! TbCu4P3 | Alexandria | PBE | optimized geometry; values from VASP
! total magnetic moment	0.0	μB per formula unit
! calculated formation energy	-0.44	eV/atom
! total DFT energy (no corrections)	-5.098	eV per atom
&SYSTEM
  ibrav = 0, nat = 8, ntyp = 3
/
ATOMIC_SPECIES
Tb 158.93 Tb.upf
Cu 63.55 Cu.upf
P 30.97 P.upf
ATOMIC_POSITIONS angstrom
Tb 0.0000 0.0000 0.0000
Cu 0.0000 1.9750 2.4461
Cu 0.0000 1.9750 5.1736
Cu 1.9750 0.0000 2.4461
Cu 1.9750 0.0000 5.1736
P 0.0000 0.0000 3.8098
P 1.9750 1.9750 1.1377
P 1.9750 1.9750 6.4819
CELL_PARAMETERS angstrom
3.9499 0.0000 0.0000
0.0000 3.9499 0.0000
0.0000 0.0000 7.6197

[6]
! Ba2HRh | Alexandria | PBE | optimized geometry; values from VASP
! total magnetic moment	0.0	μB per formula unit
! total DFT energy (no corrections)	-3.740	eV per atom
! ΔE to the lowest computed polymorph	72	kJ/mol of formula units
&SYSTEM
  ibrav = 0, nat = 4, ntyp = 3
/
ATOMIC_SPECIES
Ba 137.33 Ba.upf
H 1.01 H.upf
Rh 102.91 Rh.upf
ATOMIC_POSITIONS angstrom
Ba 1.8711 1.8711 1.8711
Ba 5.6133 5.6133 5.6133
H 0.0000 0.0000 0.0000
Rh 3.7422 3.7422 3.7422
CELL_PARAMETERS angstrom
0.0000 3.7422 3.7422
3.7422 0.0000 3.7422
3.7422 3.7422 0.0000

[7]
! SmPd3Au4 | Alexandria | PBE | optimized geometry; values from VASP
! total magnetic moment	0.0	μB per formula unit
! calculated formation energy	-0.39	eV/atom
! total DFT energy (no corrections)	-4.569	eV per atom
&SYSTEM
  ibrav = 0, nat = 8, ntyp = 3
/
ATOMIC_SPECIES
Sm 150.36 Sm.upf
Pd 106.42 Pd.upf
Au 196.97 Au.upf
ATOMIC_POSITIONS angstrom
Sm 0.0000 0.0000 0.0000
Pd 4.0454 0.0000 1.0344
Pd 7.9936 0.0000 2.0447
Pd 11.9417 0.0000 3.0550
Au 1.5984 0.0000 2.5864
Au 5.3539 0.0000 3.5450
Au 10.6333 0.0000 0.5444
Au 14.3887 0.0000 1.5030
CELL_PARAMETERS angstrom
8.5116 -2.0985 0.0000
8.5116 2.0985 0.0000
-1.0360 0.0000 4.0894

[8]
! NpPd2Pb2S4 | Alexandria | PBE | optimized geometry; values from VASP
! total magnetic moment	3.0	μB per formula unit
! total DFT energy (no corrections)	-5.909	eV per atom
&SYSTEM
  ibrav = 0, nat = 9, ntyp = 4
/
ATOMIC_SPECIES
Np 237.00 Np.upf
Pd 106.42 Pd.upf
Pb 207.20 Pb.upf
S 32.06 S.upf
ATOMIC_POSITIONS angstrom
Np 0.0000 0.0000 0.0000
Pd 4.6886 0.0000 0.4492
Pd 7.0845 0.0000 6.3674
Pb 0.3123 0.0000 4.2678
Pb 11.4608 0.0000 2.5487
S 2.3167 0.0000 1.3533
S 5.0578 0.0000 5.1156
S 6.7153 0.0000 1.7010
S 9.4564 0.0000 5.4633
CELL_PARAMETERS angstrom
7.4003 -1.9966 0.0000
7.4003 1.9966 0.0000
-3.0275 0.0000 6.8166

[9]
! Ni2Pt2W | Alexandria | PBE | optimized geometry; values from VASP
! total magnetic moment	0.0	μB per formula unit
! calculated formation energy	0.05	eV/atom
! total DFT energy (no corrections)	-7.271	eV per atom
! ΔE to the lowest computed polymorph	137	kJ/mol of formula units
&SYSTEM
  ibrav = 0, nat = 10, ntyp = 3
/
ATOMIC_SPECIES
Ni 58.69 Ni.upf
Pt 195.08 Pt.upf
W 183.84 W.upf
ATOMIC_POSITIONS angstrom
Ni 0.8776 2.5990 0.0000
Ni 2.5990 6.0756 0.0000
Ni 4.3543 0.8776 0.0000
Ni 6.0756 4.3543 0.0000
Pt 1.1897 4.6663 1.4365
Pt 2.2869 1.1897 1.4365
Pt 4.6663 5.7635 1.4365
Pt 5.7635 2.2869 1.4365
W 0.0000 0.0000 0.0000
W 3.4766 3.4766 0.0000
CELL_PARAMETERS angstrom
6.9532 0.0000 0.0000
0.0000 6.9532 0.0000
0.0000 0.0000 2.8731

[10]
! YSb2TeP | Alexandria | PBE | optimized geometry; values from VASP
! total magnetic moment	1.9	μB per formula unit
! total DFT energy (no corrections)	-3.932	eV per atom
! ΔE to the lowest computed polymorph	329	kJ/mol of formula units
&SYSTEM
  ibrav = 0, nat = 5, ntyp = 4
/
ATOMIC_SPECIES
Y 88.91 Y.upf
Sb 121.76 Sb.upf
Te 127.60 Te.upf
P 30.97 P.upf
ATOMIC_POSITIONS angstrom
Y 0.0000 0.0000 0.0000
Sb 0.0000 2.9246 0.0000
Sb 2.9246 0.0000 0.0000
Te 0.0000 0.0000 2.8696
P 2.9246 2.9246 2.8696
CELL_PARAMETERS angstrom
5.8492 0.0000 0.0000
0.0000 5.8492 0.0000
0.0000 0.0000 5.7392

[11]
! Ho4CoSn2 | Alexandria | PBE | optimized geometry; values from VASP
! total magnetic moment	0.0	μB per formula unit
! calculated formation energy	-0.41	eV/atom
! total DFT energy (no corrections)	-5.188	eV per atom
! ΔE to the lowest computed polymorph	56	kJ/mol of formula units
&SYSTEM
  ibrav = 0, nat = 7, ntyp = 3
/
ATOMIC_SPECIES
Ho 164.93 Ho.upf
Co 58.93 Co.upf
Sn 118.71 Sn.upf
ATOMIC_POSITIONS angstrom
Ho 2.4360 0.0000 0.0000
Ho 0.0000 0.0000 2.8159
Ho 0.0000 2.4360 0.0000
Ho 0.0000 0.0000 13.4827
Co 0.0000 0.0000 0.0000
Sn 0.0000 0.0000 5.8944
Sn 0.0000 0.0000 10.4042
CELL_PARAMETERS angstrom
-2.4360 2.4360 8.1493
2.4360 -2.4360 8.1493
2.4360 2.4360 -8.1493

[12]
! LiLuPdRu | Alexandria | PBE | optimized geometry; values from VASP
! total magnetic moment	0.0	μB per formula unit
! calculated formation energy	-0.32	eV/atom
! total DFT energy (no corrections)	-5.546	eV per atom
&SYSTEM
  ibrav = 0, nat = 4, ntyp = 4
/
ATOMIC_SPECIES
Li 6.94 Li.upf
Lu 174.97 Lu.upf
Pd 106.42 Pd.upf
Ru 101.07 Ru.upf
ATOMIC_POSITIONS angstrom
Li 0.0000 0.0000 0.0000
Lu 3.1939 3.1939 3.1939
Pd 1.5969 1.5969 1.5969
Ru 4.7908 4.7908 4.7908
CELL_PARAMETERS angstrom
0.0000 3.1939 3.1939
3.1939 0.0000 3.1939
3.1939 3.1939 0.0000

no.,N(E_F) (states/eV/f.u.)
1,10.54
2,1.72
3,4.93
4,4.04
5,0.72
6,0.02
7,4.17
8,10.35
9,6.15
10,4.42
11,3.42
12,2.94